1.
The following is a PBE calculation of crystalline NdPuPa4 at its relaxed geometry, from Alexandria.

Cell lengths 6.1119, 6.1119, 6.1119 Å; angles 60.00, 60.00, 60.00 degrees
Last column: nearest neighbours and their distance in Å.
Fractional coordinates of all 6 atoms:
Nd: 0.0000 0.0000 0.0000  12 Pa 3.58, 4 Pu 3.74
Pu: 0.7500 0.7500 0.7500  12 Pa 3.58, 4 Nd 3.74
Pa: 0.3749 0.3749 0.3749  6 Pa 3.05-3.06
Pa: 0.3749 0.3749 0.8753  6 Pa 3.05-3.06
Pa: 0.3749 0.8753 0.3749  6 Pa 3.05-3.06
Pa: 0.8753 0.3749 0.3749  6 Pa 3.05-3.06

M_tot   4.31 Bohr magnetons per cell
Total DFT energy (no corrections)   -0.33953 hartree per atom

***

2.
The following is a PBE calculation of crystalline NdPuPa at its relaxed geometry, from Alexandria.

Cell lengths 7.2483, 7.2483, 7.2483 Å; angles 44.78, 44.78, 44.78 degrees
Last column: nearest neighbours and their distance in Å.
Fractional coordinates of all 6 atoms:
Nd: 0.1072 0.1072 0.1072  3 Pa 3.19, 3 Pu 3.46
Nd: 0.8928 0.8928 0.8928  3 Pa 3.19, 3 Pu 3.46
Pu: 0.2954 0.2954 0.2954  1 Pa 2.64
Pu: 0.7046 0.7046 0.7046  1 Pa 2.64
Pa: 0.4307 0.4307 0.4307  1 Pu 2.64, 1 Pa 2.71
Pa: 0.5693 0.5693 0.5693  1 Pu 2.64, 1 Pa 2.71

M_tot   13.44 Bohr magnetons per cell
Relative energy among the computed polymorphs   0.3182 eV/atom
Total DFT energy (no corrections)   -0.33275 hartree per atom

***

3.
The following is a PBE calculation of crystalline NdPuPa at its relaxed geometry, from Alexandria.

Cell lengths 7.4544, 7.4544, 7.4544 Å; angles 153.29, 153.29, 38.13 degrees
Last column: nearest neighbours and their distance in Å.
Fractional coordinates of all 3 atoms:
Nd: 0.0000 0.0000 0.0000  4 Pa 3.43, 4 Nd 3.44, 4 Pu 3.66
Pu: 0.3062 0.3062 0.0000  4 Pa 3.09, 4 Pu 3.44
Pa: 0.6715 0.6715 0.0000  4 Pu 3.09, 4 Nd 3.43, 4 Pa 3.44

M_tot   5.92 Bohr magnetons per cell
Relative energy among the computed polymorphs   0.0000 eV/atom
Total DFT energy (no corrections)   -0.34445 hartree per atom

***

4.
The following is a PBE calculation of crystalline Nd2PuPaS4 at its relaxed geometry, from Alexandria.

Cell lengths 6.9181, 3.9804, 6.9290 Å; angles 90.00, 109.35, 90.00 degrees
Last column: nearest neighbours and their distance in Å.
Fractional coordinates of all 8 atoms:
Nd: 0.0000 0.0000 0.0000  6 S 2.86-2.87
Nd: 0.0000 0.5000 0.5000  6 S 2.87-2.88
Pu: 0.5000 0.0000 0.5000  6 S 2.78-2.79
Pa: 0.5000 0.5000 0.0000  6 S 2.77-2.78
S: 0.2619 0.0000 0.7548  2 Pa 2.78, 1 Pu 2.79, 3 Nd 2.87
S: 0.2624 0.5000 0.2520  1 Pa 2.77, 2 Pu 2.78, 3 Nd 2.86-2.88
S: 0.7381 0.0000 0.2452  2 Pa 2.78, 1 Pu 2.79, 3 Nd 2.87
S: 0.7376 0.5000 0.7480  1 Pa 2.77, 2 Pu 2.78, 3 Nd 2.86-2.88

Formation energy without anion corrections   -1.847 eV/atom
M_tot   6.04 Bohr magnetons per cell
Total DFT energy (no corrections)   -0.29699 hartree per atom

***

5.
The following is a PBE calculation of crystalline NdPu2PaSb4 at its relaxed geometry, from Alexandria.

Cell lengths 7.6546, 4.4423, 7.7045 Å; angles 90.00, 109.58, 90.00 degrees
Last column: nearest neighbours and their distance in Å.
Fractional coordinates of all 8 atoms:
Nd: 0.0000 0.0000 0.0000  6 Sb 3.16-3.17
Pu: 0.5000 0.0000 0.5000  6 Sb 3.11-3.12
Pu: 0.5000 0.5000 0.0000  6 Sb 3.17-3.18
Pa: 0.0000 0.5000 0.5000  6 Sb 3.10-3.11
Sb: 0.2468 0.0000 0.7436  2 Pa 3.11, 3 Pu 3.12-3.17, 1 Nd 3.16
Sb: 0.2516 0.5000 0.2581  1 Pa 3.10, 3 Pu 3.11-3.18, 2 Nd 3.17
Sb: 0.7484 0.5000 0.7419  1 Pa 3.10, 3 Pu 3.11-3.18, 2 Nd 3.17
Sb: 0.7532 0.0000 0.2564  2 Pa 3.11, 3 Pu 3.12-3.17, 1 Nd 3.16

Formation energy without anion corrections   -0.721 eV/atom
M_tot   0.33 Bohr magnetons per cell
Total DFT energy (no corrections)   -0.29942 hartree per atom

***

6.
The following is a PBE calculation of crystalline NdPuPa2Sb4 at its relaxed geometry, from Alexandria.

Cell lengths 7.6626, 4.4234, 7.6677 Å; angles 90.00, 109.47, 90.00 degrees
Last column: nearest neighbours and their distance in Å.
Fractional coordinates of all 8 atoms:
Nd: 0.0000 0.0000 0.0000  6 Sb 3.17
Pu: 0.0000 0.5000 0.5000  6 Sb 3.15
Pa: 0.5000 0.0000 0.5000  6 Sb 3.09
Pa: 0.5000 0.5000 0.0000  6 Sb 3.11
Sb: 0.2560 0.0000 0.7497  3 Pa 3.09-3.11, 2 Pu 3.15, 1 Nd 3.17
Sb: 0.2582 0.5000 0.2549  3 Pa 3.09-3.11, 1 Pu 3.15, 2 Nd 3.17
Sb: 0.7418 0.5000 0.7451  3 Pa 3.09-3.11, 1 Pu 3.15, 2 Nd 3.17
Sb: 0.7440 0.0000 0.2503  3 Pa 3.09-3.11, 2 Pu 3.15, 1 Nd 3.17

Formation energy without anion corrections   -0.680 eV/atom
M_tot   7.20 Bohr magnetons per cell
Total DFT energy (no corrections)   -0.27573 hartree per atom

***

no.,N(E_F) (states/eV per cell)
1,15.70
2,15.95
3,5.90
4,10.03
5,32.18
6,19.29